[1]
DFT (PBE) results for crystalline ScReOsF2 at its relaxed geometry.

Values from the calculation:
- calculated total energy (eV/atom) = -6.2653
- symmetry = P4/mmm (123)
- formation energy (no corrections) (kcal/mol of atoms) = 11.2
- DOS at the Fermi energy (states/eV per cell) = 2.65
- calculated density (g/cm³) = 8.5

Lattice parameters (Å, degrees): 4.020 4.020 5.549 90.00 90.00 90.00
Atoms (fractional coordinates):
Sc  0.000  0.000  0.000
Re  0.500  0.500  0.000
Os  0.000  0.000  0.500
F  0.000  0.500  0.500
F  0.500  0.000  0.500

=====

[2]
DFT (PBE) results for crystalline Re2TcOsF at its relaxed geometry.

Values from the calculation:
- calculated total energy (eV/atom) = -7.4348
- symmetry = P4/mmm (123)
- formation energy (no corrections) (kcal/mol of atoms) = 51.6
- DOS at the Fermi energy (states/eV per cell) = 4.93
- calculated density (g/cm³) = 10.8

Lattice parameters (Å, degrees): 4.712 4.712 4.711 90.00 90.00 90.00
Atoms (fractional coordinates):
Re  0.000  0.500  0.000
Re  0.500  0.000  0.000
Tc  0.000  0.000  0.000
Os  0.000  0.000  0.500
F  0.500  0.500  0.500

=====

[3]
DFT (PBE) results for crystalline ReTe2OsF at its relaxed geometry.

Values from the calculation:
- calculated total energy (eV/atom) = -5.0566
- symmetry = P4/mmm (123)
- formation energy (no corrections) (kcal/mol of atoms) = 30.2
- DOS at the Fermi energy (states/eV per cell) = 4.56
- calculated density (g/cm³) = 11.6

Lattice parameters (Å, degrees): 4.848 4.848 3.967 90.00 90.00 90.00
Atoms (fractional coordinates):
Re  0.000  0.000  0.000
Te  0.000  0.500  0.500
Te  0.500  0.000  0.500
Os  0.500  0.500  0.000
F  0.500  0.500  0.500

=====

[4]
DFT (PBE) results for crystalline OsRhF3 at its relaxed geometry.

Values from the calculation:
- calculated total energy (eV/atom) = -4.6994
- symmetry = Pm-3m (221)
- formation energy (no corrections) (kcal/mol of atoms) = 3.2
- DOS at the Fermi energy (states/eV per cell) = 12.45
- calculated density (g/cm³) = 8.0

Lattice parameters (Å, degrees): 4.169 4.169 4.169 90.00 90.00 90.00
Atoms (fractional coordinates):
Os  0.000  0.000  0.000
Rh  0.500  0.500  0.500
F  0.000  0.000  0.500
F  0.000  0.500  0.000
F  0.500  0.000  0.000

=====

[5]
DFT (PBE) results for crystalline OsRhF3 at its relaxed geometry.

Values from the calculation:
- calculated total energy (eV/atom) = -4.5053
- symmetry = Pm-3m (221)
- formation energy (no corrections) (kcal/mol of atoms) = 7.7
- DOS at the Fermi energy (states/eV per cell) = 6.04
- calculated density (g/cm³) = 7.6

Lattice parameters (Å, degrees): 4.251 4.251 4.251 90.00 90.00 90.00
Atoms (fractional coordinates):
Os  0.000  0.000  0.000
Rh  0.500  0.500  0.500
F  0.000  0.500  0.500
F  0.500  0.000  0.500
F  0.500  0.500  0.000

=====

[6]
DFT (PBE) results for crystalline SrOsRhF2 at its relaxed geometry.

Values from the calculation:
- calculated total energy (eV/atom) = -5.1217
- symmetry = P4/mmm (123)
- formation energy (no corrections) (kcal/mol of atoms) = -7.4
- DOS at the Fermi energy (states/eV per cell) = 2.96
- calculated density (g/cm³) = 5.5

Lattice parameters (Å, degrees): 4.292 4.292 6.845 90.00 90.00 90.00
Atoms (fractional coordinates):
Sr  0.000  0.000  0.000
Os  0.500  0.500  0.500
Rh  0.000  0.000  0.500
F  0.000  0.500  0.000
F  0.500  0.000  0.000